(1)
DFT (PBE-GGA) results for a relaxed structure of BaCd2Hg.

## Properties
SG ... Cm (8)
Magnetization ... 0.000 μB/f.u.
Electronic total energy ... -1.307 eV/atom
DFT formation energy ... -293 meV per atom

a b c (Å): 5.2011 5.2011 6.1042
angles (deg): 64.86 64.86 59.84
Closest atoms and distances in Å follow each position.
Sites, in units of the cell vectors:
Cd: 0.0360 0.0360 0.8911  3 Cd 3.04-3.05
Cd: 0.7351 0.7351 0.7940  3 Cd 3.04-3.05, 3 Hg 3.22
Hg: 0.4757 0.4757 0.5741  6 Cd 3.22-3.45, 4 Ba 3.48-3.55
Ba: 0.2532 0.2532 0.2408  7 Cd 3.46-3.83, 4 Hg 3.48-3.55



(2)
DFT (PBE-GGA) results for a relaxed structure of La5Tl5Zn2.

## Properties
SG ... C2/m (12)
Magnetization ... 0.000 μB/f.u.
Electronic total energy ... -3.612 eV/atom
DFT formation energy ... -360 meV per atom

a b c (Å): 4.9458 8.8308 8.8502
angles (deg): 95.97 73.77 73.74
Closest atoms and distances in Å follow each position.
Sites, in units of the cell vectors:
La: 0.0000 0.5000 0.5000  4 Zn 3.29, 6 Tl 3.32-3.33, 2 La 3.68
La: 0.6936 0.6825 0.9302  3 Zn 3.19-3.46, 5 Tl 3.51-3.54
La: 0.3406 0.9881 0.3307  4 Tl 3.29-3.32, 1 Zn 3.51
La: 0.6594 0.0119 0.6693  4 Tl 3.29-3.32, 1 Zn 3.51
La: 0.3064 0.3175 0.0698  3 Zn 3.19-3.46, 5 Tl 3.51-3.54
Tl: 0.6992 0.2527 0.3489  1 Zn 2.89
Tl: 0.9807 0.2674 0.7711  2 Zn 2.89
Tl: 0.0193 0.7326 0.2289  2 Zn 2.89
Tl: 0.3008 0.7473 0.6511  1 Zn 2.89
Tl: 0.0000 0.0000 0.0000  4 Tl 3.27-3.30, 4 La 3.62
Zn: 0.4162 0.4333 0.7342  3 Tl 2.89, 1 La 3.19
Zn: 0.5838 0.5667 0.2658  3 Tl 2.89, 1 La 3.19



(3)
DFT (PBE-GGA) results for a relaxed structure of Zr3ReHg.

## Properties
SG ... Pm-3m (221)
Magnetization ... 0.000 μB/f.u.
Energy relative to the lowest polymorph listed for this composition ... 0.0000 eV per atom
Electronic total energy ... -7.173 eV/atom
DFT formation energy ... 506 meV per atom

a b c (Å): 5.0773 5.0773 5.0773
angles (deg): 90.00 90.00 90.00
Closest atoms and distances in Å follow each position.
Sites, in units of the cell vectors:
Re: 0.0000 0.0000 0.0000  6 Zr 2.54
Hg: 0.5000 0.5000 0.5000  12 Zr 3.59
Zr: 0.0000 0.5000 0.0000  2 Re 2.54
Zr: 0.0000 0.0000 0.5000  2 Re 2.54
Zr: 0.5000 0.0000 0.0000  2 Re 2.54



(4)
DFT (PBE-GGA) results for a relaxed structure of LiYAs2Rh5.

## Properties
SG ... P4/mmm (123)
Magnetization ... 0.000 μB/f.u.
Electronic total energy ... -6.418 eV/atom
DFT formation energy ... -369 meV per atom

a b c (Å): 4.0697 4.0697 11.6620
angles (deg): 90.00 90.00 90.00
Closest atoms and distances in Å follow each position.
Sites, in units of the cell vectors:
Li: 0.0000 0.0000 0.0000  2 As 2.46
Y: 0.5000 0.5000 0.5000  12 Rh 2.88-2.91
As: 0.0000 0.0000 0.2109  4 Rh 2.41, 1 Li 2.46
As: 0.0000 0.0000 0.7891  4 Rh 2.41, 1 Li 2.46
Rh: 0.0000 0.0000 0.5000  4 Y 2.88, 8 Rh 2.91
Rh: 0.0000 0.5000 0.6785  2 As 2.41
Rh: 0.5000 0.0000 0.3215  2 As 2.41
Rh: 0.0000 0.5000 0.3215  2 As 2.41
Rh: 0.5000 0.0000 0.6785  2 As 2.41



(5)
DFT (PBE-GGA) results for a relaxed structure of GdHoSi2.

## Properties
SG ... R-3m (166)
Magnetization ... 7.075 μB/f.u.
Formation energy (no corrections) ... -0.507 eV/atom
Electronic total energy ... -7.883 eV/atom

a b c (Å): 4.5960 4.5960 5.7249
angles (deg): 66.33 66.33 60.00
Closest atoms and distances in Å follow each position.
Sites, in units of the cell vectors:
Si: 0.7474 0.7474 0.7577  3 Ho 2.92, 3 Gd 2.96
Si: 0.2526 0.2526 0.2423  3 Ho 2.92, 3 Gd 2.96
Gd: 0.5000 0.5000 0.5000  6 Si 2.96
Ho: 0.0000 0.0000 0.0000  6 Si 2.92



(6)
DFT (PBE-GGA) results for a relaxed structure of MnIn2Te.

## Properties
SG ... Cm (8)
Magnetization ... 3.606 μB/f.u.
Formation energy (no corrections) ... 0.084 eV/atom
Electronic total energy ... -4.364 eV/atom

a b c (Å): 3.7774 3.7774 8.5615
angles (deg): 77.04 77.04 60.17
Closest atoms and distances in Å follow each position.
Sites, in units of the cell vectors:
In: 0.0034 0.0034 0.9951  3 In 3.18-3.21, 3 Te 3.33-3.34
In: 0.7613 0.7613 0.7137  3 Mn 2.85-2.86, 2 In 3.18
Mn: 0.5023 0.5023 0.4911  3 Te 2.69-2.70, 3 In 2.85-2.86
Te: 0.2330 0.2330 0.3001  3 Mn 2.69-2.70



(7)
DFT (PBE-GGA) results for a relaxed structure of LaGdGeIr.

## Properties
SG ... F-43m (216)
Magnetization ... 6.981 μB/f.u.
Electronic total energy ... -8.727 eV/atom
DFT formation energy ... -605 meV per atom

a b c (Å): 5.1117 5.1117 5.1117
angles (deg): 60.00 60.00 60.00
Closest atoms and distances in Å follow each position.
Sites, in units of the cell vectors:
Gd: 0.2500 0.2500 0.2500  4 Ge 3.13, 4 Ir 3.13
Ge: 0.0000 0.0000 0.0000  4 La 3.13, 4 Gd 3.13
Ir: 0.5000 0.5000 0.5000  4 Gd 3.13, 4 La 3.13
La: 0.7500 0.7500 0.7500  4 Ge 3.13, 4 Ir 3.13



(8)
DFT (PBE-GGA) results for a relaxed structure of FeSnSe2.

## Properties
SG ... R-3m (166)
Magnetization ... 1.354 μB/f.u.
Formation energy (no corrections) ... -0.184 eV/atom
Electronic total energy ... -5.042 eV/atom

a b c (Å): 8.8127 8.8127 8.8127
angles (deg): 22.71 22.71 22.71
Closest atoms and distances in Å follow each position.
Sites, in units of the cell vectors:
Sn: 0.0000 0.0000 0.0000  2 Se 2.98
Se: 0.8844 0.8844 0.8844  3 Fe 2.40
Se: 0.1156 0.1156 0.1156  3 Fe 2.40
Fe: 0.5000 0.5000 0.5000  6 Se 2.40